[1]
Here is crystalline Re2Os5 at its relaxed geometry from Alexandria. Energies are from GGA-PBE.

Values from the calculation:
As for the electronic total energy: -11.42 eV/atom. The calculation puts the relative energy among the computed polymorphs at 0.0747 eV per atom. Its mass density is 21.16 g/cm³. Its calculated formation energy is 0.16 eV per atom.

Lattice parameters (Å, degrees): 2.754 6.384 6.634 62.94 90.00 90.00
Positions (direct):
Os1 0.000 0.420 0.822
Os2 0.500 0.275 0.547
Os3 0.500 0.000 0.000
Os4 0.500 0.725 0.453
Os5 0.000 0.580 0.178
Re1 0.000 0.132 0.270
Re2 0.000 0.868 0.730

***

[2]
Here is crystalline LiMg2Ga2 at its relaxed geometry from Alexandria. Energies are from GGA-PBE.

Values from the calculation:
As for the electronic total energy: -2.07 eV/atom. The calculation puts the relative energy among the computed polymorphs at 0.3035 eV per atom. Its mass density is 2.26 g/cm³. Its calculated formation energy is 0.16 eV per atom.

Lattice parameters (Å, degrees): 4.625 4.625 7.735 90.00 90.00 120.00
Positions (direct):
Li1 0.000 0.000 0.000
Ga1 0.000 0.000 0.667
Ga2 0.000 0.000 0.333
Mg1 0.667 0.333 0.607
Mg2 0.333 0.667 0.393

***

[3]
Here is crystalline LaBe2OsN at its relaxed geometry from Alexandria. Energies are from GGA-PBE.

Values from the calculation:
As for the electronic total energy: -5.51 eV/atom. As for the raw formation energy: 0.873 eV per atom. Its mass density is 6.31 g/cm³.

Lattice parameters (Å, degrees): 4.146 5.529 4.146 90.00 90.00 90.00
Positions (direct):
Os1 0.000 0.000 0.000
Be1 0.000 0.000 0.500
Be2 0.500 0.000 0.000
La1 0.000 0.500 0.000
N1 0.500 0.500 0.500

***

[4]
Here is crystalline Nd4DyHo4 at its relaxed geometry from Alexandria. Energies are from GGA-PBE.

Values from the calculation:
As for the electronic total energy: -4.65 eV/atom. The calculation puts the relative energy among the computed polymorphs at 0.0000 eV per atom. Its mass density is 7.86 g/cm³. Its calculated formation energy is 0.02 eV per atom.

Lattice parameters (Å, degrees): 5.073 8.044 8.044 84.29 71.62 71.62
Positions (direct):
Nd1 0.333 0.000 0.333
Nd2 0.667 0.667 0.000
Nd3 0.667 0.000 0.667
Nd4 0.333 0.333 0.000
Dy1 0.000 0.000 0.000
Ho1 0.665 0.335 0.335
Ho2 0.000 0.665 0.335
Ho3 0.000 0.335 0.665
Ho4 0.335 0.665 0.665